Entry i
AgHg3N | Alexandria via LeMat-Bulk | GGA-PBE | optimized geometry; space group = Pm-3m (221); V = 34.3 Å³ per atom; crystal system = cubic
1.0
-1.412 -3.753 -3.846
-0.927 -3.747 3.996
-5.293 1.658 0.326
Hg Ag N
3 1 1
Cartesian
-0.464 -1.874 1.998
-2.646 0.829 0.163
-0.706 -1.876 -1.923
0.000 0.000 0.000
-3.816 -2.921 0.238

---

Entry ii
AgHg3N | Alexandria via LeMat-Bulk | GGA-PBE | optimized geometry; space group = Pm-3m (221); V = 21.9 Å³ per atom; crystal system = cubic
1.0
-2.002 2.492 3.556
2.052 -2.909 3.193
3.828 2.863 0.148
Hg Ag N
3 1 1
Cartesian
1.026 -1.454 1.597
1.914 1.431 0.074
-1.001 1.246 1.778
1.939 1.223 3.449
0.000 0.000 0.000

---

The least stable of the structures above is entry i, whereas entry ii is the most stable.